[1]
! Li2SnPt, optimized geometry, DFT PBE-GGA; values from VASP
&SYSTEM
  ibrav = 0, nat = 8, ntyp = 3
/
ATOMIC_SPECIES
Sn 118.71 Sn.upf
Pt 195.08 Pt.upf
Li 6.94 Li.upf
ATOMIC_POSITIONS crystal
Sn 0.500 0.500 0.000
Sn 0.250 0.750 0.500
Pt 0.000 0.000 0.000
Pt 0.750 0.250 0.500
Li 0.651 0.125 0.250
Li 0.099 0.625 0.250
Li 0.375 0.349 0.750
Li 0.875 0.901 0.750
CELL_PARAMETERS angstrom
3.923 0.000 0.000
0.000 3.923 0.000
1.962 1.962 9.574
! Formation enthalpy at 0 K   -33 kJ/mol of atoms
! V   18.42 Å³ per atom
! Calculated total energy   -3.8059 eV/atom


[2]
! CoCu2Os, optimized geometry, DFT PBE-GGA; values from VASP
&SYSTEM
  ibrav = 0, nat = 4, ntyp = 3
/
ATOMIC_SPECIES
Co 58.93 Co.upf
Cu 63.55 Cu.upf
Os 190.23 Os.upf
ATOMIC_POSITIONS crystal
Co 0.500 0.500 0.750
Cu 0.000 0.000 0.989
Cu 0.000 0.000 0.511
Os 0.500 0.500 0.250
CELL_PARAMETERS angstrom
-1.589 1.564 1.265
-1.723 -1.891 0.175
3.105 -2.215 6.637
! Formation enthalpy at 0 K   37 kJ/mol of atoms
! V   12.58 Å³ per atom
! Calculated total energy   -6.2491 eV/atom


[3]
! SrGeAs2Br, optimized geometry, DFT PBE-GGA; values from VASP
&SYSTEM
  ibrav = 0, nat = 5, ntyp = 4
/
ATOMIC_SPECIES
Sr 87.62 Sr.upf
As 74.92 As.upf
Ge 72.64 Ge.upf
Br 79.90 Br.upf
ATOMIC_POSITIONS crystal
Sr 0.000 0.000 0.000
As 0.000 0.500 0.000
As 0.500 0.000 0.000
Ge 0.500 0.500 0.500
Br 0.000 0.000 0.500
CELL_PARAMETERS angstrom
5.793 0.000 0.000
0.000 5.793 0.000
0.000 0.000 5.618
! Formation energy from raw total energies   0.60 eV/atom
! V   37.70 Å³ per atom
! Calculated total energy   -2.8536 eV/atom


[4]
! Zr2Sc2In, optimized geometry, DFT PBE-GGA; values from VASP
&SYSTEM
  ibrav = 0, nat = 5, ntyp = 3
/
ATOMIC_SPECIES
Zr 91.22 Zr.upf
Sc 44.96 Sc.upf
In 114.82 In.upf
ATOMIC_POSITIONS crystal
Zr 0.000 0.500 0.500
Zr 0.500 0.000 0.500
Sc 0.680 0.676 0.820
Sc 0.320 0.324 0.180
In 0.000 0.000 0.000
CELL_PARAMETERS angstrom
3.005 -0.142 0.960
-0.231 4.689 1.440
0.322 2.049 9.706
! Formation enthalpy at 0 K   16 kJ/mol of atoms
! V   25.12 Å³ per atom
! Calculated total energy   -6.3302 eV/atom


[5]
! LiZn2Ag, optimized geometry, DFT PBE-GGA; values from VASP
&SYSTEM
  ibrav = 0, nat = 4, ntyp = 3
/
ATOMIC_SPECIES
Zn 65.41 Zn.upf
Ag 107.87 Ag.upf
Li 6.94 Li.upf
ATOMIC_POSITIONS crystal
Zn 0.000 0.000 0.000
Zn 0.250 0.750 0.500
Ag 0.500 0.500 0.000
Li 0.750 0.250 0.500
CELL_PARAMETERS angstrom
-1.949 -3.010 -2.708
3.328 -0.106 -3.018
0.631 -0.677 4.397
! Formation enthalpy at 0 K   -16 kJ/mol of atoms
! V   15.15 Å³ per atom
! Calculated total energy   -1.9944 eV/atom


[6]
! Pu8Pd3Rh2, optimized geometry, DFT PBE-GGA; values from VASP
&SYSTEM
  ibrav = 0, nat = 13, ntyp = 3
/
ATOMIC_SPECIES
Pu 244.00 Pu.upf
Pd 106.42 Pd.upf
Rh 102.91 Rh.upf
ATOMIC_POSITIONS crystal
Pu 0.229 0.577 0.577
Pu 0.771 0.423 0.423
Pu 0.889 0.144 0.144
Pu 0.111 0.856 0.856
Pu 0.652 0.594 0.080
Pu 0.652 0.080 0.594
Pu 0.348 0.920 0.406
Pu 0.348 0.406 0.920
Pd 0.500 0.000 0.000
Pd 0.000 0.265 0.735
Pd 0.000 0.735 0.265
Rh 0.335 0.303 0.303
Rh 0.665 0.697 0.697
CELL_PARAMETERS angstrom
5.294 0.315 1.225
1.741 7.175 1.250
0.777 -0.623 7.422
! Formation enthalpy at 0 K   -22 kJ/mol of atoms
! V   21.09 Å³ per atom
! Calculated total energy   -11.3739 eV/atom


[7]
! InTePd2, optimized geometry, DFT PBE-GGA; values from VASP
&SYSTEM
  ibrav = 0, nat = 8, ntyp = 3
/
ATOMIC_SPECIES
Te 127.60 Te.upf
Pd 106.42 Pd.upf
In 114.82 In.upf
ATOMIC_POSITIONS crystal
Te 0.000 0.000 0.000
Te 0.750 0.250 0.500
Pd 0.648 0.125 0.250
Pd 0.102 0.625 0.250
Pd 0.375 0.352 0.750
Pd 0.875 0.898 0.750
In 0.500 0.500 0.000
In 0.250 0.750 0.500
CELL_PARAMETERS angstrom
4.566 0.000 0.000
0.000 4.566 0.000
2.283 2.283 8.614
! Formation energy from raw total energies   -0.22 eV/atom
! V   22.44 Å³ per atom
! Calculated total energy   -4.2825 eV/atom


[8]
! PPt2Pb, optimized geometry, DFT PBE-GGA; values from VASP
&SYSTEM
  ibrav = 0, nat = 4, ntyp = 3
/
ATOMIC_SPECIES
Pb 207.20 Pb.upf
P 30.97 P.upf
Pt 195.08 Pt.upf
ATOMIC_POSITIONS crystal
Pb 0.500 0.500 0.500
P 0.000 0.000 0.000
Pt 0.250 0.250 0.250
Pt 0.750 0.750 0.750
CELL_PARAMETERS angstrom
0.000 3.316 3.316
3.316 0.000 3.316
3.316 3.316 0.000
! Formation enthalpy at 0 K   22 kJ/mol of atoms
! V   18.23 Å³ per atom
! Calculated total energy   -5.0751 eV/atom


[9]
! CaGaCu2, optimized geometry, DFT PBE-GGA; values from VASP
&SYSTEM
  ibrav = 0, nat = 16, ntyp = 3
/
ATOMIC_SPECIES
Ca 40.08 Ca.upf
Ga 69.72 Ga.upf
Cu 63.55 Cu.upf
ATOMIC_POSITIONS crystal
Ca 0.353 0.250 0.023
Ca 0.853 0.750 0.477
Ca 0.647 0.750 0.977
Ca 0.147 0.250 0.523
Ga 0.654 0.250 0.365
Ga 0.154 0.750 0.135
Ga 0.346 0.750 0.635
Ga 0.846 0.250 0.865
Cu 0.922 0.061 0.167
Cu 0.422 0.939 0.333
Cu 0.078 0.561 0.833
Cu 0.578 0.439 0.667
Cu 0.078 0.939 0.833
Cu 0.578 0.061 0.667
Cu 0.922 0.439 0.167
Cu 0.422 0.561 0.333
CELL_PARAMETERS angstrom
-5.065 -1.198 2.718
-1.326 -4.727 -4.553
3.422 -4.985 4.179
! Formation enthalpy at 0 K   -25 kJ/mol of atoms
! V   18.06 Å³ per atom
! Calculated total energy   -3.5672 eV/atom


[10]
! KZrW4, optimized geometry, DFT PBE-GGA; values from VASP
&SYSTEM
  ibrav = 0, nat = 6, ntyp = 3
/
ATOMIC_SPECIES
K 39.10 K.upf
Zr 91.22 Zr.upf
W 183.84 W.upf
ATOMIC_POSITIONS crystal
K 0.000 0.000 0.000
Zr 0.750 0.750 0.750
W 0.877 0.374 0.374
W 0.374 0.374 0.877
W 0.374 0.877 0.374
W 0.374 0.374 0.374
CELL_PARAMETERS angstrom
-5.328 -1.328 0.429
-3.778 3.952 0.666
-3.477 1.204 -4.098
! Formation enthalpy at 0 K   88 kJ/mol of atoms
! V   19.69 Å³ per atom
! Calculated total energy   -9.3264 eV/atom


[11]
! Cd3Pd4Pt, optimized geometry, DFT PBE-GGA; values from VASP
&SYSTEM
  ibrav = 0, nat = 8, ntyp = 3
/
ATOMIC_SPECIES
Cd 112.41 Cd.upf
Pd 106.42 Pd.upf
Pt 195.08 Pt.upf
ATOMIC_POSITIONS crystal
Cd 0.000 0.500 0.000
Cd 0.157 0.170 0.313
Cd 0.843 0.830 0.687
Pd 0.399 0.388 0.797
Pd 0.601 0.612 0.203
Pd 0.720 0.726 0.441
Pd 0.280 0.274 0.559
Pt 0.500 0.000 0.000
CELL_PARAMETERS angstrom
-1.001 0.004 -4.248
2.862 -0.063 -0.675
-1.332 -11.296 2.546
! Formation enthalpy at 0 K   -18 kJ/mol of atoms
! V   18.18 Å³ per atom
! Calculated total energy   -3.8806 eV/atom


[12]
! Co2CuPb, optimized geometry, DFT PBE-GGA; values from VASP
&SYSTEM
  ibrav = 0, nat = 4, ntyp = 3
/
ATOMIC_SPECIES
Co 58.93 Co.upf
Cu 63.55 Cu.upf
Pb 207.20 Pb.upf
ATOMIC_POSITIONS crystal
Co 0.980 0.980 0.980
Co 0.256 0.256 0.256
Cu 0.515 0.515 0.515
Pb 0.748 0.748 0.748
CELL_PARAMETERS angstrom
8.013 0.040 0.024
7.374 3.137 0.024
7.374 1.523 2.743
! Formation enthalpy at 0 K   56 kJ/mol of atoms
! V   16.89 Å³ per atom
! Calculated total energy   -4.9220 eV/atom